VASP calculation (PBEsol) on Na3NbCo after structural relaxation.

Cell and atoms, written as extended XYZ:
```
5
Lattice="5.780 0.000 0.000 0.000 5.780 0.000 0.000 0.000 5.780" Properties=species:S:1:pos:R:3 pbc="T T T"
Na 0.000 0.000 2.890
Na 0.000 2.890 0.000
Na 2.890 0.000 0.000
Nb 0.000 0.000 0.000
Co 2.890 2.890 2.890
```

Calculated values
For the formation enthalpy at 0 K, the calculation gives 201.3 kJ/mol of atoms. The value obtained for the magnetic moment is 1.46 μB per atom. The calculation puts the total energy at -2.465 eV/atom. As for the space-group type: No. 221. Its crystal system is cubic.